1.
TaAsPd3 | GGA-PBE | relaxed

Unit cell a=4.839 b=4.839 c=4.839 alpha=90.00 beta=90.00 gamma=90.00
Element x y z (fractional)
As1 0.500 0.500 0.500
Pd1 0.000 0.500 0.000
Pd2 0.500 0.000 0.000
Pd3 0.000 0.000 0.500
Ta1 0.000 0.000 0.000

Summary:
relative energy among the computed polymorphs: 198.4 kJ/mol of formula units
total energy: -5.434 eV per atom
mass density: 8427 kg/m³
total magnetization: 0.00 μB per atom
space-group type: Pm-3m

---

2.
TaAsPd3 | GGA-PBE | relaxed

Unit cell a=4.590 b=4.590 c=4.590 alpha=90.00 beta=90.00 gamma=90.00
Last column: magnetic moment on the atom in μB.
Element x y z (fractional)
Pd1 0.000 0.000 0.500  0.03
Pd2 0.500 0.000 0.000  0.00
Pd3 0.000 0.500 0.000  0.00
Ta1 0.500 0.500 0.500  1.29
As1 0.000 0.000 0.000  -0.04

Summary:
relative energy among the computed polymorphs: 0.0 kJ/mol of formula units
total energy: -5.845 eV per atom
mass density: 9878 kg/m³
total magnetization: 0.38 μB per atom
space-group type: Pm-3m

---

3.
Tb3As6Pd20 | GGA-PBE | relaxed

Unit cell a=8.887 b=8.887 c=8.887 alpha=60.00 beta=60.00 gamma=60.00
Element x y z (fractional)
As1 0.735 0.735 0.265
As2 0.735 0.265 0.735
As3 0.735 0.265 0.265
As4 0.265 0.735 0.265
As5 0.265 0.735 0.735
As6 0.265 0.265 0.735
Pd1 0.854 0.382 0.382
Pd2 0.000 0.000 0.348
Pd3 0.652 0.000 0.348
Pd4 0.348 0.000 0.652
Pd5 0.348 0.000 0.000
Pd6 0.000 0.000 0.652
Pd7 0.000 0.652 0.000
Pd8 0.652 0.348 0.000
Pd9 0.000 0.348 0.652
Pd10 0.146 0.618 0.618
Pd11 0.382 0.854 0.382
Pd12 0.000 0.348 0.000
Pd13 0.382 0.382 0.382
Pd14 0.618 0.618 0.146
Pd15 0.652 0.000 0.000
Pd16 0.348 0.652 0.000
Pd17 0.000 0.652 0.348
Pd18 0.382 0.382 0.854
Pd19 0.618 0.618 0.618
Pd20 0.618 0.146 0.618
Tb1 0.750 0.750 0.750
Tb2 0.250 0.250 0.250
Tb3 0.000 0.000 0.000

Summary:
total energy: -5.625 eV per atom
mass density: 10220 kg/m³
total magnetization: 0.00 μB per atom
space-group type: Fm-3m

---

4.
Tb2As3Pd9 | GGA-PBE | relaxed

Unit cell a=7.860 b=7.860 c=10.081 alpha=89.61 beta=113.38 gamma=119.99
Element x y z (fractional)
Tb1 0.337 0.242 0.751
Tb2 0.008 0.414 0.251
Tb3 0.663 0.758 0.249
Tb4 0.992 0.586 0.749
Pd1 0.897 0.862 0.578
Pd2 0.853 0.013 0.048
Pd3 0.323 0.285 0.246
Pd4 0.430 0.625 0.917
Pd5 0.570 0.375 0.083
Pd6 0.147 0.987 0.952
Pd7 0.208 0.513 0.583
Pd8 0.792 0.487 0.417
Pd9 0.677 0.715 0.754
Pd10 0.461 0.923 0.746
Pd11 0.103 0.138 0.422
Pd12 0.215 0.680 0.078
Pd13 0.885 0.135 0.750
Pd14 0.536 0.195 0.548
Pd15 0.464 0.805 0.452
Pd16 0.115 0.865 0.250
Pd17 0.785 0.320 0.922
Pd18 0.539 0.077 0.254
As1 0.850 0.178 0.500
As2 0.500 0.500 0.500
As3 0.178 0.350 0.000
As4 0.150 0.822 0.500
As5 0.500 0.000 0.000
As6 0.822 0.650 0.000

Summary:
total energy: -5.687 eV per atom
mass density: 10368 kg/m³
total magnetization: 0.00 μB per atom
space-group type: C2/c

---

The lowest total energy belongs to which entry?
number 2

---

Number 4 is which compound?
Tb2As3Pd9

---

Which of these has the highest total magnetization?
number 2